The following is a DFT calculation (PBE-GGA) of a relaxed structure of LiPr4Tm3Te8.

Cell: 8.7105 8.7105 22.1802 Å, 90.00 90.00 120.00°
Space group R-3m (No. 166, hexagonal axes)
Asymmetric unit:
Li: 0.0000 0.0000 0.0000
Pr: 0.0000 0.0000 0.5000
Pr: 0.0000 0.5000 0.5000
Tm: 0.0000 0.5000 0.0000
Te: 0.0000 0.0000 0.2563
Te: 0.0052 0.5026 0.7424

The value obtained for the mass density is 7.17 Mg/m³. The density of states at the Fermi level comes out at 25.100 states/eV per cell. The uncorrected formation energy is -1.33 eV/atom. For the final energy, the calculation gives -0.372 Ry per atom. The total magnetization comes out at 0.000 μB per atom.